First-principles (GGA-PBE) data for a relaxed structure of AgRhAu2, as listed in the Alexandria database.

Calculated total energy (eV/atom): -4.0961
ΔH_f (0 K) (eV per atom): 0.093
Offset from the most stable computed form (meV per atom): 12
Magnetic moment (μB/f.u.): 0.66
Space-group type: P4/mmm (123)
Crystal system: tetragonal

a = 2.8454 Å, b = 2.8454 Å, c = 8.3657 Å
α = 90.00°, β = 90.00°, γ = 90.00°
Each line ends with the local moment (μB).
Positions (direct):
Ag: 0.5000 0.5000 0.5000  0.00
Rh: 0.5000 0.5000 0.0000  0.60
Au: 0.0000 0.0000 0.7592  0.03
Au: 0.0000 0.0000 0.2408  0.03

---

First-principles (GGA-PBE) data for a relaxed structure of LiCdInHg2, as listed in the Alexandria database.

Calculated total energy (eV/atom): -1.3677
ΔH_f (0 K) (eV per atom): -0.134
Magnetic moment (μB/f.u.): 0.00
Space-group type: P2_1/m (11)
Crystal system: monoclinic

a = 4.6288 Å, b = 7.5355 Å, c = 6.7195 Å
α = 102.13°, β = 90.00°, γ = 90.00°
Positions (direct):
Li: 0.2500 0.7521 0.2585
Li: 0.7500 0.2479 0.7415
Cd: 0.2500 0.5566 0.6540
Cd: 0.7500 0.4434 0.3460
In: 0.2500 0.9656 0.8369
In: 0.7500 0.0344 0.1631
Hg: 0.7500 0.8398 0.5398
Hg: 0.7500 0.6341 0.9700
Hg: 0.2500 0.1602 0.4602
Hg: 0.2500 0.3659 0.0300

---

First-principles (GGA-PBE) data for a relaxed structure of Na3S2O8, as listed in the Alexandria database.

Calculated total energy (eV/atom): -5.5713
E_form (uncorrected) (meV/atom): -1580.7
Magnetic moment (μB/f.u.): 1.12
Space-group type: R-3m (166)
Crystal system: trigonal

a = 5.4134 Å, b = 5.4134 Å, c = 7.0798 Å
α = 67.52°, β = 67.52°, γ = 60.00°
Each line ends with the local moment (μB).
Positions (direct):
Na: 0.0000 0.0000 0.0000  0.00
Na: 0.7985 0.7985 0.6046  0.00
Na: 0.2015 0.2015 0.3954  0.00
S: 0.5970 0.5970 0.2091  -0.01
S: 0.4030 0.4030 0.7909  -0.01
O: 0.6746 0.6746 0.9762  0.14
O: 0.3254 0.3254 0.0238  0.14
O: 0.2706 0.7212 0.2870  0.12
O: 0.7212 0.2706 0.2870  0.12
O: 0.7212 0.7212 0.2870  0.12
O: 0.2788 0.7294 0.7130  0.12
O: 0.7294 0.2788 0.7130  0.12
O: 0.2788 0.2788 0.7130  0.12

---

First-principles (GGA-PBE) data for a relaxed structure of TlReNO2, as listed in the Alexandria database.

Calculated total energy (eV/atom): -4.9027
E_form (uncorrected) (meV/atom): 1708.6
Magnetic moment (μB/f.u.): 3.89
Space-group type: P4/mmm (123)
Crystal system: tetragonal

a = 4.1609 Å, b = 4.1609 Å, c = 4.3420 Å
α = 90.00°, β = 90.00°, γ = 90.00°
Each line ends with the local moment (μB).
Positions (direct):
Re: 0.5000 0.5000 0.5000  3.71
Tl: 0.0000 0.0000 0.0000  0.00
O: 0.0000 0.5000 0.0000  0.04
O: 0.5000 0.0000 0.0000  0.04
N: 0.0000 0.0000 0.5000  -0.34

---

- magnetic moment of number 3 (Na3S2O8)?
  1.12 μB/f.u.

---

- What is the formula in the first record?
  AgRhAu2